1.
Material: CaTi2Zn2P2O10
Method: DFT, PBE
State: relaxed

Unit cell a=5.522 b=6.135 c=7.196 alpha=104.83 beta=104.42 gamma=108.38
Positions (direct):
Zn 0.471 0.444 0.799
Zn 0.605 0.588 0.197
Ti 0.485 0.985 0.483
Ti 0.074 0.436 0.957
O 0.695 0.762 0.527
O 0.861 0.898 0.166
O 0.296 0.225 0.462
O 0.972 0.657 0.807
O 0.327 0.774 0.204
O 0.994 0.333 0.193
O 0.679 0.212 0.789
O 0.187 0.804 0.571
O 0.813 0.203 0.446
O 0.108 0.095 0.840
P 0.001 0.166 0.321
P 0.983 0.827 0.681
Ca 0.503 0.020 0.000

Properties
- Raw total energy: -117.6 eV/cell
- V: 209 Å³ per cell
- Total moment: 0.0035 μB/atom
- N(E_F): 4.18 states/eV/cell


2.
Material: CaTl3P2O8
Method: DFT, PBE
State: relaxed

Unit cell a=5.796 b=5.796 c=7.638 alpha=90.00 beta=90.00 gamma=120.00
Positions (direct):
Tl 0.000 0.000 0.000
Tl 0.667 0.333 0.281
Tl 0.333 0.667 0.719
O 0.667 0.333 0.958
O 0.187 0.813 0.315
O 0.813 0.187 0.685
O 0.333 0.667 0.042
O 0.375 0.187 0.685
O 0.625 0.813 0.315
O 0.187 0.375 0.315
O 0.813 0.625 0.685
Ca 0.000 0.000 0.500
P 0.667 0.333 0.758
P 0.333 0.667 0.242

Properties
- Raw total energy: -86.3 eV/cell
- V: 222 Å³ per cell
- Total moment: 0.0000 μB/atom
- N(E_F): 8.38 states/eV/cell


3.
Material: CaTl2P2O6
Method: DFT, PBE
State: relaxed

Unit cell a=5.936 b=5.937 c=6.741 alpha=116.19 beta=90.00 gamma=119.99
Positions (direct):
O 0.798 0.030 0.265
O 0.232 0.030 0.265
O 0.202 0.970 0.735
O 0.767 0.534 0.731
O 0.768 0.970 0.735
O 0.233 0.466 0.269
Ca 0.500 0.000 0.500
Tl 0.726 0.452 0.179
Tl 0.274 0.548 0.821
P 0.937 0.874 0.809
P 0.063 0.126 0.191

Properties
- Raw total energy: -70.1 eV/cell
- V: 177 Å³ per cell
- Total moment: 0.0000 μB/atom
- N(E_F): 0.00 states/eV/cell


4.
Material: CaTlP2O
Method: DFT, PBE
State: relaxed

Unit cell a=5.453 b=5.453 c=4.280 alpha=90.00 beta=90.00 gamma=90.00
Positions (direct):
O 0.000 0.000 0.500
Tl 0.500 0.500 0.500
P 0.000 0.500 0.000
P 0.500 0.000 0.000
Ca 0.000 0.000 0.000

Properties
- Raw total energy: -18.6 eV/cell
- V: 127 Å³ per cell
- Total moment: 0.3158 μB/atom
- N(E_F): 5.54 states/eV/cell


What did the second record say?
Material: CaTl3P2O8
Method: DFT, PBE
State: relaxed

Unit cell a=5.796 b=5.796 c=7.638 alpha=90.00 beta=90.00 gamma=120.00
Positions (direct):
Tl 0.000 0.000 0.000
Tl 0.667 0.333 0.281
Tl 0.333 0.667 0.719
O 0.667 0.333 0.958
O 0.187 0.813 0.315
O 0.813 0.187 0.685
O 0.333 0.667 0.042
O 0.375 0.187 0.685
O 0.625 0.813 0.315
O 0.187 0.375 0.315
O 0.813 0.625 0.685
Ca 0.000 0.000 0.500
P 0.667 0.333 0.758
P 0.333 0.667 0.242

Properties
- Raw total energy: -86.3 eV/cell
- V: 222 Å³ per cell
- Total moment: 0.0000 μB/atom
- N(E_F): 8.38 states/eV/cell


What is the V in the first record? 209 Å³ per cell


Number 2 is which compound? CaTl3P2O8


Please write out number 1 again, unchanged.
Material: CaTi2Zn2P2O10
Method: DFT, PBE
State: relaxed

Unit cell a=5.522 b=6.135 c=7.196 alpha=104.83 beta=104.42 gamma=108.38
Positions (direct):
Zn 0.471 0.444 0.799
Zn 0.605 0.588 0.197
Ti 0.485 0.985 0.483
Ti 0.074 0.436 0.957
O 0.695 0.762 0.527
O 0.861 0.898 0.166
O 0.296 0.225 0.462
O 0.972 0.657 0.807
O 0.327 0.774 0.204
O 0.994 0.333 0.193
O 0.679 0.212 0.789
O 0.187 0.804 0.571
O 0.813 0.203 0.446
O 0.108 0.095 0.840
P 0.001 0.166 0.321
P 0.983 0.827 0.681
Ca 0.503 0.020 0.000

Properties
- Raw total energy: -117.6 eV/cell
- V: 209 Å³ per cell
- Total moment: 0.0035 μB/atom
- N(E_F): 4.18 states/eV/cell